[1]
Material: TeAsP2
Method: DFT, GGA-PBE
State: relaxed

The structure belongs to space group Cmmm (No. 65); the cell edges are 3.595, 7.877 and 7.276 Å and the angles 90.00°, 90.00° and 90.00°. The asymmetric unit holds Te at (0.000, 0.000, 0.000), As at (0.000, 0.000, 0.500) and P at (0.000, 0.500, 0.269).

The raw formation energy is 584 meV/atom. As for the calculated volume: 25.76 A^3/atom.



[2]
Material: TeAs3P
Method: DFT, GGA-PBE
State: relaxed

The structure belongs to space group Pm-3m (No. 221); the cell edges are 4.838, 4.838 and 4.838 Å and the angles 90.00°, 90.00° and 90.00°. The asymmetric unit holds Te at (0.000, 0.000, 0.000), As at (0.000, 0.500, 0.500) and P at (0.500, 0.500, 0.500).

The raw formation energy is 639 meV/atom. As for the calculated volume: 22.65 A^3/atom.



[3]
Material: TeAsP
Method: DFT, GGA-PBE
State: relaxed

The structure belongs to space group I4mm (No. 107); the cell edges are 3.398, 3.398 and 13.287 Å and the angles 90.00°, 90.00° and 90.00°. The asymmetric unit holds Te at (0.000, 0.000, 0.000), As at (0.000, 0.000, 0.750) and P at (0.000, 0.000, 0.193).

The raw formation energy is 225 meV/atom. As for the calculated volume: 25.57 A^3/atom.



[4]
Material: TeAsP2
Method: DFT, GGA-PBE
State: relaxed

The structure belongs to space group Immm (No. 71); the cell edges are 3.618, 7.266 and 8.055 Å and the angles 90.00°, 90.00° and 90.00°. The asymmetric unit holds Te at (0.000, 0.000, 0.000), As at (0.000, 0.500, 0.000) and P at (0.000, 0.231, 0.500).

The raw formation energy is 596 meV/atom. As for the calculated volume: 26.48 A^3/atom.



[5]
Material: TeAsP
Method: DFT, GGA-PBE
State: relaxed

The structure belongs to space group C2/m (No. 12); the cell edges are 13.579, 3.347 and 7.317 Å and the angles 90.00°, 104.45° and 90.00°. The asymmetric unit holds Te at (0.112, 0.000, 0.458), As at (0.169, 0.000, 0.131) and P at (0.070, 0.500, 0.947).

The raw formation energy is 109 meV/atom. As for the calculated volume: 26.84 A^3/atom.



[6]
Material: TeAs2P
Method: DFT, GGA-PBE
State: relaxed

The structure belongs to space group Imm2 (No. 44); the cell edges are 3.302, 3.817 and 17.064 Å and the angles 90.00°, 90.00° and 90.00°. The asymmetric unit holds Te at (0.000, 0.000, 0.000), As at (0.000, 0.000, 0.681), As at (0.000, 0.500, 0.890) and P at (0.000, 0.500, 0.271).

The raw formation energy is 289 meV/atom. As for the calculated volume: 26.88 A^3/atom.



> The lowest raw formation energy belongs to which entry?

number 5



> The lowest calculated volume belongs to which entry?

TeAs3P